Record 1
This record from the Alexandria database describes an optimized crystal structure of Tb8Al2Pb. The functional is PBE.

Structure (POSCAR):
```
Tb8Al2Pb
1.0
4.929 0.000 0.000
0.000 7.969 0.141
-2.464 -3.154 7.840
Tb Al Pb
8 2 1
Cartesian
0.000 1.807 6.274 Tb
2.464 6.363 2.940 Tb
2.464 3.973 5.428 Tb
2.464 -0.691 7.109 Tb
0.000 0.842 2.552 Tb
0.000 -1.548 5.040 Tb
2.464 3.008 1.707 Tb
0.000 5.506 0.871 Tb
2.464 0.943 4.470 Al
0.000 3.872 3.510 Al
2.464 0.000 0.000 Pb
```

Calculated values
**N(E_F)**: 11.70 states/eV/f.u.
**Final energy**: -4.61 eV per atom
**Magnetic moment**: 0.0 μB/f.u.


Record 2
This record from the Alexandria database describes an optimized crystal structure of Nb2Cu2PdS6. The functional is PBE.

Structure (POSCAR):
```
Nb2Cu2PdS6
1.0
6.215 -0.269 0.098
-3.305 5.270 0.098
-0.988 -1.698 6.043
Nb Cu Pd S
2 2 1 6
Cartesian
-0.305 2.388 3.119 Nb
2.227 0.915 3.119 Nb
4.578 0.683 0.098 Cu
-1.669 4.318 0.098 Cu
-0.494 -0.849 3.021 Pd
1.492 2.564 4.781 S
-1.801 1.032 4.528 S
0.430 0.740 1.458 S
1.788 -1.055 4.528 S
3.723 2.271 1.710 S
0.134 4.359 1.710 S
```

Calculated values
**N(E_F)**: 6.25 states/eV/f.u.
**Magnetic moment**: 0.0 μB/f.u.
**Formation energy without anion corrections**: -0.49 eV/atom


- What is the N(E_F) in the first record?
  11.70 states/eV/f.u.


- The lowest N(E_F) belongs to which entry?
  Nb2Cu2PdS6


- Among the records above, which one has the highest N(E_F)?
  Tb8Al2Pb